No. 1
# YZnPO (SCAN, PBEsol geometry)
data_YZnPO
_cell_length_a 10.2412
_cell_length_b 10.2412
_cell_length_c 10.2412
_cell_angle_alpha 21.66
_cell_angle_beta 21.66
_cell_angle_gamma 21.66
_space_group_name_H-M_alt 'P 1'
_space_group_IT_number 1
loop_
_space_group_symop_operation_xyz
'x,y,z'
loop_
_atom_site_label
_atom_site_fract_x
_atom_site_fract_y
_atom_site_fract_z
_atom_site_occupancy
Y1 0.1202 0.1202 0.1202 1
Y2 0.8798 0.8798 0.8798 1
Zn1 0.3041 0.3041 0.3041 1
Zn2 0.6959 0.6959 0.6959 1
P1 0.3882 0.3882 0.3882 1
P2 0.6118 0.6118 0.6118 1
O1 0.1948 0.1948 0.1948 1
O2 0.8052 0.8052 0.8052 1
# - Fermi-level density of states: 0.000 states/eV per atom
# - DFT total energy: -16.5945 eV/atom
# - Total moment: 0.0 μB/cell

***

No. 2
# Nd2Mn3FeSi4 (SCAN, PBEsol geometry)
data_Nd2Mn3FeSi4
_cell_length_a 3.9099
_cell_length_b 3.9099
_cell_length_c 10.2741
_cell_angle_alpha 90.00
_cell_angle_beta 90.00
_cell_angle_gamma 90.00
_space_group_name_H-M_alt 'P 1'
_space_group_IT_number 1
loop_
_space_group_symop_operation_xyz
'x,y,z'
loop_
_atom_site_label
_atom_site_fract_x
_atom_site_fract_y
_atom_site_fract_z
_atom_site_occupancy
Nd1 0.0000 0.5000 0.2475 1
Nd2 0.5000 0.0000 0.7525 1
Mn1 0.0000 0.0000 0.0000 1
Mn2 0.0000 0.0000 0.5000 1
Mn3 0.5000 0.5000 0.5000 1
Fe1 0.5000 0.5000 0.0000 1
Si1 0.0000 0.5000 0.6265 1
Si2 0.0000 0.5000 0.8787 1
Si3 0.5000 0.0000 0.1213 1
Si4 0.5000 0.0000 0.3735 1
# - Fermi-level density of states: 0.511 states/eV per atom
# - DFT total energy: -20.6424 eV/atom
# - Total moment: 6.7 μB/cell

***

Q: Which of these has the highest Fermi-level density of states?
A: Nd2Mn3FeSi4

***

Q: The lowest Fermi-level density of states belongs to which entry?
A: YZnPO

***

Q: The highest DFT total energy belongs to which entry?
A: YZnPO